a) A plane-wave DFT calculation with PBE-GGA was carried out for a relaxed Hf2Nb2In crystal.

**Density of states at the Fermi level**: 5.3 states/eV/cell
**SG**: I4/mmm (139)

Geometry as CIF:
```
data_Hf2Nb2In
_chemical_formula_sum 'Hf2 Nb2 In1'
_cell_length_a 4.119
_cell_length_b 4.119
_cell_length_c 7.257
_cell_angle_alpha 73.51
_cell_angle_beta 73.51
_cell_angle_gamma 90.00
_space_group_name_H-M_alt 'P 1'
_space_group_IT_number 1
_space_group_name_Hall 'P 1'
loop_
_atom_site_label
_atom_site_type_symbol
_atom_site_fract_x
_atom_site_fract_y
_atom_site_fract_z
Nb1 Nb 0.407 0.407 0.186
Nb2 Nb 0.593 0.593 0.814
Hf1 Hf 0.750 0.250 0.500
Hf2 Hf 0.250 0.750 0.500
In1 In 0.000 0.000 0.000
```

***

b) A plane-wave DFT calculation with PBE-GGA was carried out for a relaxed Hf2Nb2In crystal.

**Density of states at the Fermi level**: 12.9 states/eV/cell
**SG**: P4/mbm (127)

Geometry as CIF:
```
data_Hf2Nb2In
_chemical_formula_sum 'Hf4 Nb4 In2'
_cell_length_a 7.422
_cell_length_b 7.422
_cell_length_c 3.866
_cell_angle_alpha 90.00
_cell_angle_beta 90.00
_cell_angle_gamma 90.00
_space_group_name_H-M_alt 'P 1'
_space_group_IT_number 1
_space_group_name_Hall 'P 1'
loop_
_atom_site_label
_atom_site_type_symbol
_atom_site_fract_x
_atom_site_fract_y
_atom_site_fract_z
Nb1 Nb 0.374 0.874 0.000
Nb2 Nb 0.874 0.626 0.000
Nb3 Nb 0.626 0.126 0.000
Nb4 Nb 0.126 0.374 0.000
Hf1 Hf 0.170 0.670 0.500
Hf2 Hf 0.670 0.830 0.500
Hf3 Hf 0.830 0.330 0.500
Hf4 Hf 0.330 0.170 0.500
In1 In 0.000 0.000 0.000
In2 In 0.500 0.500 0.000
```

***

c) A plane-wave DFT calculation with PBE-GGA was carried out for a relaxed Hf2Nb2In crystal.

**Density of states at the Fermi level**: 6.4 states/eV/cell
**SG**: I4/mmm (139)

Geometry as CIF:
```
data_Hf2Nb2In
_chemical_formula_sum 'Hf2 Nb2 In1'
_cell_length_a 3.914
_cell_length_b 3.914
_cell_length_c 7.831
_cell_angle_alpha 75.53
_cell_angle_beta 75.53
_cell_angle_gamma 90.00
_space_group_name_H-M_alt 'P 1'
_space_group_IT_number 1
_space_group_name_Hall 'P 1'
loop_
_atom_site_label
_atom_site_type_symbol
_atom_site_fract_x
_atom_site_fract_y
_atom_site_fract_z
Nb1 Nb 0.750 0.250 0.500
Nb2 Nb 0.250 0.750 0.500
Hf1 Hf 0.400 0.400 0.200
Hf2 Hf 0.600 0.600 0.800
In1 In 0.000 0.000 0.000
```

***

Which structure is the most stable? The one labeled b).

***

a) A plane-wave DFT calculation with PBE-GGA was carried out for a relaxed Hf6NbIn crystal.

**Density of states at the Fermi level**: 10.0 states/eV/cell
**SG**: P-1 (2)

Geometry as CIF:
```
data_Hf6NbIn
_chemical_formula_sum 'Hf6 Nb1 In1'
_cell_length_a 7.878
_cell_length_b 7.877
_cell_length_c 5.572
_cell_angle_alpha 44.95
_cell_angle_beta 45.03
_cell_angle_gamma 60.00
_space_group_name_H-M_alt 'P 1'
_space_group_IT_number 1
_space_group_name_Hall 'P 1'
loop_
_atom_site_label
_atom_site_type_symbol
_atom_site_fract_x
_atom_site_fract_y
_atom_site_fract_z
Hf1 Hf 0.999 0.502 0.746
Hf2 Hf 0.753 0.000 0.744
Hf3 Hf 0.500 0.247 0.253
Hf4 Hf 0.247 0.000 0.256
Hf5 Hf 0.001 0.498 0.254
Hf6 Hf 0.500 0.753 0.747
Nb1 Nb 0.000 0.000 0.000
In1 In 0.500 0.500 0.500
```

***

b) A plane-wave DFT calculation with PBE-GGA was carried out for a relaxed Hf6NbIn crystal.

**Density of states at the Fermi level**: 13.6 states/eV/cell
**SG**: R-3m (166)

Geometry as CIF:
```
data_Hf6NbIn
_chemical_formula_sum 'Hf6 Nb1 In1'
_cell_length_a 4.965
_cell_length_b 4.965
_cell_length_c 8.534
_cell_angle_alpha 73.09
_cell_angle_beta 73.09
_cell_angle_gamma 60.00
_space_group_name_H-M_alt 'P 1'
_space_group_IT_number 1
_space_group_name_Hall 'P 1'
loop_
_atom_site_label
_atom_site_type_symbol
_atom_site_fract_x
_atom_site_fract_y
_atom_site_fract_z
Hf1 Hf 0.628 0.628 0.115
Hf2 Hf 0.124 0.124 0.627
Hf3 Hf 0.876 0.876 0.373
Hf4 Hf 0.372 0.372 0.885
Hf5 Hf 0.253 0.253 0.242
Hf6 Hf 0.747 0.747 0.758
Nb1 Nb 0.000 0.000 0.000
In1 In 0.500 0.500 0.500
```

***

Which structure is the most stable? The one labeled a).

***

a) A plane-wave DFT calculation with PBE-GGA was carried out for a relaxed Hf6NbIn5 crystal.

**Density of states at the Fermi level**: 9.5 states/eV/cell
**SG**: C2/m (12)

Geometry as CIF:
```
data_Hf6NbIn5
_chemical_formula_sum 'Hf6 Nb1 In5'
_cell_length_a 10.100
_cell_length_b 5.547
_cell_length_c 5.536
_cell_angle_alpha 59.93
_cell_angle_beta 84.85
_cell_angle_gamma 79.68
_space_group_name_H-M_alt 'P 1'
_space_group_IT_number 1
_space_group_name_Hall 'P 1'
loop_
_atom_site_label
_atom_site_type_symbol
_atom_site_fract_x
_atom_site_fract_y
_atom_site_fract_z
Hf1 Hf 0.756 0.081 0.337
Hf2 Hf 0.244 0.582 0.337
Hf3 Hf 0.243 0.255 0.000
Hf4 Hf 0.757 0.745 0.000
Hf5 Hf 0.756 0.418 0.663
Hf6 Hf 0.244 0.919 0.663
Nb1 Nb 0.000 0.000 0.000
In1 In 0.500 0.167 0.666
In2 In 0.000 0.333 0.334
In3 In 0.500 0.500 0.000
In4 In 0.000 0.667 0.666
In5 In 0.500 0.833 0.334
```

***

b) A plane-wave DFT calculation with PBE-GGA was carried out for a relaxed Hf6NbIn5 crystal.

**Density of states at the Fermi level**: 9.0 states/eV/cell
**SG**: Cmmm (65)

Geometry as CIF:
```
data_Hf6NbIn5
_chemical_formula_sum 'Hf6 Nb1 In5'
_cell_length_a 4.380
_cell_length_b 8.636
_cell_length_c 7.151
_cell_angle_alpha 90.00
_cell_angle_beta 72.13
_cell_angle_gamma 90.00
_space_group_name_H-M_alt 'P 1'
_space_group_IT_number 1
_space_group_name_Hall 'P 1'
loop_
_atom_site_label
_atom_site_type_symbol
_atom_site_fract_x
_atom_site_fract_y
_atom_site_fract_z
Nb1 Nb 0.000 0.000 0.000
Hf1 Hf 0.835 0.758 0.329
Hf2 Hf 0.835 0.242 0.329
Hf3 Hf 0.500 0.236 0.000
Hf4 Hf 0.500 0.764 0.000
Hf5 Hf 0.165 0.758 0.671
Hf6 Hf 0.165 0.242 0.671
In1 In 0.667 0.500 0.666
In2 In 0.337 0.000 0.327
In3 In 0.000 0.500 0.000
In4 In 0.663 0.000 0.673
In5 In 0.333 0.500 0.334
```

***

Which structure is the most stable? The one labeled b).

***

a) A plane-wave DFT calculation with PBE-GGA was carried out for a relaxed HfNb3In crystal.

**Density of states at the Fermi level**: 8.9 states/eV/cell
**SG**: Pm-3m (221)

Geometry as CIF:
```
data_HfNb3In
_chemical_formula_sum 'Hf1 Nb3 In1'
_cell_length_a 5.005
_cell_length_b 5.005
_cell_length_c 5.005
_cell_angle_alpha 90.00
_cell_angle_beta 90.00
_cell_angle_gamma 90.00
_space_group_name_H-M_alt 'P 1'
_space_group_IT_number 1
_space_group_name_Hall 'P 1'
loop_
_atom_site_label
_atom_site_type_symbol
_atom_site_fract_x
_atom_site_fract_y
_atom_site_fract_z
Nb1 Nb 0.000 0.500 0.000
Nb2 Nb 0.000 0.000 0.500
Nb3 Nb 0.500 0.000 0.000
Hf1 Hf 0.500 0.500 0.500
In1 In 0.000 0.000 0.000
```

***

b) A plane-wave DFT calculation with PBE-GGA was carried out for a relaxed HfNb3In crystal.

**Density of states at the Fermi level**: 5.4 states/eV/cell
**SG**: Pm-3m (221)

Geometry as CIF:
```
data_HfNb3In
_chemical_formula_sum 'Hf1 Nb3 In1'
_cell_length_a 4.936
_cell_length_b 4.936
_cell_length_c 4.936
_cell_angle_alpha 90.00
_cell_angle_beta 90.00
_cell_angle_gamma 90.00
_space_group_name_H-M_alt 'P 1'
_space_group_IT_number 1
_space_group_name_Hall 'P 1'
loop_
_atom_site_label
_atom_site_type_symbol
_atom_site_fract_x
_atom_site_fract_y
_atom_site_fract_z
Nb1 Nb 0.000 0.500 0.000
Nb2 Nb 0.000 0.000 0.500
Nb3 Nb 0.500 0.000 0.000
Hf1 Hf 0.000 0.000 0.000
In1 In 0.500 0.500 0.500
```

***

Which structure is the most stable? The one labeled b).

***

a) A plane-wave DFT calculation with PBE-GGA was carried out for a relaxed HfIn2Ni9 crystal.

**Density of states at the Fermi level**: 15.8 states/eV/cell
**SG**: R-3m (166)

Geometry as CIF:
```
data_HfIn2Ni9
_chemical_formula_sum 'Hf1 In2 Ni9'
_cell_length_a 4.820
_cell_length_b 4.820
_cell_length_c 8.414
_cell_angle_alpha 73.36
_cell_angle_beta 73.36
_cell_angle_gamma 60.00
_space_group_name_H-M_alt 'P 1'
_space_group_IT_number 1
_space_group_name_Hall 'P 1'
loop_
_atom_site_label
_atom_site_type_symbol
_atom_site_fract_x
_atom_site_fract_y
_atom_site_fract_z
Hf1 Hf 0.000 0.000 0.000
In1 In 0.861 0.861 0.416
In2 In 0.139 0.139 0.584
Ni1 Ni 0.666 0.666 0.002
Ni2 Ni 0.334 0.334 0.998
Ni3 Ni 0.500 0.500 0.500
Ni4 Ni 0.416 0.416 0.247
Ni5 Ni 0.920 0.416 0.247
Ni6 Ni 0.416 0.920 0.247
Ni7 Ni 0.584 0.584 0.753
Ni8 Ni 0.584 0.080 0.753
Ni9 Ni 0.080 0.584 0.753
```

***

b) A plane-wave DFT calculation with PBE-GGA was carried out for a relaxed HfIn2Ni9 crystal.

**Density of states at the Fermi level**: 14.5 states/eV/cell
**SG**: P4/mmm (123)

Geometry as CIF:
```
data_HfIn2Ni9
_chemical_formula_sum 'Hf1 In2 Ni9'
_cell_length_a 3.734
_cell_length_b 3.734
_cell_length_c 11.220
_cell_angle_alpha 90.00
_cell_angle_beta 90.00
_cell_angle_gamma 90.00
_space_group_name_H-M_alt 'P 1'
_space_group_IT_number 1
_space_group_name_Hall 'P 1'
loop_
_atom_site_label
_atom_site_type_symbol
_atom_site_fract_x
_atom_site_fract_y
_atom_site_fract_z
Hf1 Hf 0.000 0.000 0.000
In1 In 0.000 0.000 0.333
In2 In 0.000 0.000 0.667
Ni1 Ni 0.500 0.500 0.000
Ni2 Ni 0.500 0.500 0.332
Ni3 Ni 0.500 0.500 0.668
Ni4 Ni 0.500 0.000 0.165
Ni5 Ni 0.500 0.000 0.500
Ni6 Ni 0.500 0.000 0.835
Ni7 Ni 0.000 0.500 0.165
Ni8 Ni 0.000 0.500 0.500
Ni9 Ni 0.000 0.500 0.835
```

***

Which structure is the most stable? The one labeled b).

***

a) A plane-wave DFT calculation with PBE-GGA was carried out for a relaxed HfIn2Ni2 crystal.

**Density of states at the Fermi level**: 6.6 states/eV/cell
**SG**: P4/mbm (127)

Geometry as CIF:
```
data_HfIn2Ni2
_chemical_formula_sum 'Hf2 In4 Ni4'
_cell_length_a 7.435
_cell_length_b 7.435
_cell_length_c 3.076
_cell_angle_alpha 90.00
_cell_angle_beta 90.00
_cell_angle_gamma 90.00
_space_group_name_H-M_alt 'P 1'
_space_group_IT_number 1
_space_group_name_Hall 'P 1'
loop_
_atom_site_label
_atom_site_type_symbol
_atom_site_fract_x
_atom_site_fract_y
_atom_site_fract_z
Ni1 Ni 0.367 0.867 0.000
Ni2 Ni 0.867 0.633 0.000
Ni3 Ni 0.633 0.133 0.000
Ni4 Ni 0.133 0.367 0.000
Hf1 Hf 0.000 0.000 0.000
Hf2 Hf 0.500 0.500 0.000
In1 In 0.163 0.663 0.500
In2 In 0.663 0.837 0.500
In3 In 0.837 0.337 0.500
In4 In 0.337 0.163 0.500
```

***

b) A plane-wave DFT calculation with PBE-GGA was carried out for a relaxed HfIn2Ni2 crystal.

**Density of states at the Fermi level**: 8.4 states/eV/cell
**SG**: P4/mbm (127)

Geometry as CIF:
```
data_HfIn2Ni2
_chemical_formula_sum 'Hf2 In4 Ni4'
_cell_length_a 7.717
_cell_length_b 7.717
_cell_length_c 2.886
_cell_angle_alpha 90.00
_cell_angle_beta 90.00
_cell_angle_gamma 90.00
_space_group_name_H-M_alt 'P 1'
_space_group_IT_number 1
_space_group_name_Hall 'P 1'
loop_
_atom_site_label
_atom_site_type_symbol
_atom_site_fract_x
_atom_site_fract_y
_atom_site_fract_z
Ni1 Ni 0.167 0.667 0.500
Ni2 Ni 0.667 0.833 0.500
Ni3 Ni 0.833 0.333 0.500
Ni4 Ni 0.333 0.167 0.500
Hf1 Hf 0.000 0.000 0.000
Hf2 Hf 0.500 0.500 0.000
In1 In 0.367 0.867 0.000
In2 In 0.867 0.633 0.000
In3 In 0.633 0.133 0.000
In4 In 0.133 0.367 0.000
```

***

Which structure is the most stable? The one labeled a).